# AcFeO3, relaxed, DFT GGA-PBEsol
# E_form (uncorrected)	-2.46	eV/atom
# DOS at the Fermi energy	1.82	states/eV per cell
# DFT total energy	-41.49	eV for the cell shown
# total magnetization	3.1	μB/cell
data_AcFeO3
_chemical_formula_sum 'Ac1 Fe1 O3'
_space_group_name_H-M_alt 'P m -3 m'
_space_group_IT_number 221
_space_group_name_Hall '-P 4 2 3'
_cell_length_a 3.882
_cell_length_b 3.882
_cell_length_c 3.882
_cell_angle_alpha 90.00
_cell_angle_beta 90.00
_cell_angle_gamma 90.00
loop_
_atom_site_label
_atom_site_type_symbol
_atom_site_fract_x
_atom_site_fract_y
_atom_site_fract_z
Ac1 Ac 0.000 0.000 0.000
Fe1 Fe 0.500 0.500 0.500
O1 O 0.000 0.500 0.500

# ZnAsIr2, relaxed, DFT GGA-PBEsol
# DOS at the Fermi energy	3.89	states/eV per cell
# formation energy	-0.03	eV per atom
# DFT total energy	-52.89	eV for the cell shown
# total magnetization	0.0	μB/cell
data_ZnAsIr2
_chemical_formula_sum 'Zn2 As2 Ir4'
_space_group_name_H-M_alt 'C 1 2/m 1'
_space_group_IT_number 12
_cell_length_a 8.299
_cell_length_b 2.869
_cell_length_c 4.883
_cell_angle_alpha 90.00
_cell_angle_beta 100.27
_cell_angle_gamma 90.00
loop_
_space_group_symop_operation_xyz
'x,y,z'
'-x,-y,-z'
'-x,y,-z'
'x,-y,z'
'x+1/2,y+1/2,z'
'-x+1/2,-y+1/2,-z'
'-x+1/2,y+1/2,-z'
'x+1/2,-y+1/2,z'
loop_
_atom_site_label
_atom_site_type_symbol
_atom_site_fract_x
_atom_site_fract_y
_atom_site_fract_z
Zn1 Zn 0.000 0.000 0.000
As1 As 0.000 0.500 0.500
Ir1 Ir 0.249 0.500 0.254

# AgTe2Ru, relaxed, DFT GGA-PBEsol
# E_form (uncorrected)	0.20	eV/atom
# DOS at the Fermi energy	6.56	states/eV per cell
# DFT total energy	-39.48	eV for the cell shown
# total magnetization	0.0	μB/cell
data_AgTe2Ru
_chemical_formula_sum 'Ag2 Te4 Ru2'
_space_group_name_H-M_alt 'I m m 2'
_space_group_IT_number 44
_cell_length_a 3.150
_cell_length_b 4.149
_cell_length_c 13.056
_cell_angle_alpha 90.00
_cell_angle_beta 90.00
_cell_angle_gamma 90.00
loop_
_space_group_symop_operation_xyz
'x,y,z'
'-x,-y,z'
'-x,y,z'
'x,-y,z'
'x+1/2,y+1/2,z+1/2'
'-x+1/2,-y+1/2,z+1/2'
'-x+1/2,y+1/2,z+1/2'
'x+1/2,-y+1/2,z+1/2'
loop_
_atom_site_label
_atom_site_type_symbol
_atom_site_fract_x
_atom_site_fract_y
_atom_site_fract_z
Ag1 Ag 0.000 0.000 0.000
Te1 Te 0.000 0.000 0.378
Te2 Te 0.000 0.500 0.154
Ru1 Ru 0.000 0.500 0.714

# Li2TaPb, relaxed, DFT GGA-PBEsol
# DOS at the Fermi energy	2.78	states/eV per cell
# formation energy	0.35	eV per atom
# DFT total energy	-19.09	eV for the cell shown
# total magnetization	0.0	μB/cell
data_Li2TaPb
_chemical_formula_sum 'Li2 Ta1 Pb1'
_space_group_name_H-M_alt 'P 4/m m m'
_space_group_IT_number 123
_space_group_name_Hall '-P 4 2'
_cell_length_a 2.882
_cell_length_b 2.882
_cell_length_c 9.176
_cell_angle_alpha 90.00
_cell_angle_beta 90.00
_cell_angle_gamma 90.00
loop_
_atom_site_label
_atom_site_type_symbol
_atom_site_fract_x
_atom_site_fract_y
_atom_site_fract_z
Li1 Li 0.000 0.000 0.250
Ta1 Ta 0.500 0.500 0.000
Pb1 Pb 0.500 0.500 0.500

# BaInBr2, relaxed, DFT GGA-PBEsol
# E_form (uncorrected)	-1.23	eV/atom
# DOS at the Fermi energy	1.67	states/eV per cell
# DFT total energy	-13.80	eV for the cell shown
# total magnetization	0.0	μB/cell
data_BaInBr2
_chemical_formula_sum 'Ba1 In1 Br2'
_space_group_name_H-M_alt 'P m m m'
_space_group_IT_number 47
_cell_length_a 3.847
_cell_length_b 3.943
_cell_length_c 9.229
_cell_angle_alpha 90.00
_cell_angle_beta 90.00
_cell_angle_gamma 90.00
loop_
_space_group_symop_operation_xyz
'x,y,z'
'-x,-y,-z'
'-x,-y,z'
'x,y,-z'
'x,-y,-z'
'-x,y,z'
'-x,y,-z'
'x,-y,z'
loop_
_atom_site_label
_atom_site_type_symbol
_atom_site_fract_x
_atom_site_fract_y
_atom_site_fract_z
Ba1 Ba 0.000 0.000 0.000
In1 In 0.500 0.000 0.500
Br1 Br 0.500 0.500 0.195

# YCu2Si, relaxed, DFT GGA-PBEsol
# E_form (uncorrected)	-0.16	eV/atom
# DOS at the Fermi energy	2.96	states/eV per cell
# DFT total energy	-21.87	eV for the cell shown
# total magnetization	0.0	μB/cell
data_YCu2Si
_chemical_formula_sum 'Y1 Cu2 Si1'
_space_group_name_H-M_alt 'P 4 m m'
_space_group_IT_number 99
_cell_length_a 3.145
_cell_length_b 3.145
_cell_length_c 6.365
_cell_angle_alpha 90.00
_cell_angle_beta 90.00
_cell_angle_gamma 90.00
loop_
_space_group_symop_operation_xyz
'x,y,z'
'-y,x,z'
'-x,-y,z'
'y,-x,z'
'-x,y,z'
'y,x,z'
'x,-y,z'
'-y,-x,z'
loop_
_atom_site_label
_atom_site_type_symbol
_atom_site_fract_x
_atom_site_fract_y
_atom_site_fract_z
Y1 Y 0.000 0.000 0.000
Cu1 Cu 0.000 0.000 0.501
Cu2 Cu 0.500 0.500 0.697
Si1 Si 0.500 0.500 0.319

# LiAu, relaxed, DFT GGA-PBEsol
# DOS at the Fermi energy	2.76	states/eV per cell
# formation energy	-0.46	eV per atom
# DFT total energy	-27.25	eV for the cell shown
# total magnetization	0.0	μB/cell
data_LiAu
_chemical_formula_sum 'Li4 Au4'
_space_group_name_H-M_alt 'C m c m'
_space_group_IT_number 63
_space_group_name_Hall '-C 2c 2'
_cell_length_a 2.705
_cell_length_b 10.194
_cell_length_c 4.317
_cell_angle_alpha 90.00
_cell_angle_beta 90.00
_cell_angle_gamma 90.00
loop_
_atom_site_label
_atom_site_type_symbol
_atom_site_fract_x
_atom_site_fract_y
_atom_site_fract_z
Li1 Li 0.000 0.073 0.250
Au1 Au 0.000 0.335 0.250

# TaBe2Zn, relaxed, DFT GGA-PBEsol
# DOS at the Fermi energy	1.35	states/eV per cell
# formation energy	-0.04	eV per atom
# DFT total energy	-22.30	eV for the cell shown
# total magnetization	0.0	μB/cell
data_TaBe2Zn
_chemical_formula_sum 'Ta1 Be2 Zn1'
_space_group_name_H-M_alt 'P 4/m m m'
_space_group_IT_number 123
_space_group_name_Hall '-P 4 2'
_cell_length_a 3.746
_cell_length_b 3.746
_cell_length_c 3.428
_cell_angle_alpha 90.00
_cell_angle_beta 90.00
_cell_angle_gamma 90.00
loop_
_atom_site_label
_atom_site_type_symbol
_atom_site_fract_x
_atom_site_fract_y
_atom_site_fract_z
Ta1 Ta 0.000 0.000 0.000
Be1 Be 0.000 0.500 0.500
Zn1 Zn 0.500 0.500 0.000

# NbGaTeN2, relaxed, DFT GGA-PBEsol
# E_form (uncorrected)	1.28	eV/atom
# DOS at the Fermi energy	2.86	states/eV per cell
# DFT total energy	-28.33	eV for the cell shown
# total magnetization	0.2	μB/cell
data_NbGaTeN2
_chemical_formula_sum 'Nb1 Ga1 Te1 N2'
_space_group_name_H-M_alt 'P 4/m m m'
_space_group_IT_number 123
_space_group_name_Hall '-P 4 2'
_cell_length_a 3.920
_cell_length_b 3.920
_cell_length_c 5.363
_cell_angle_alpha 90.00
_cell_angle_beta 90.00
_cell_angle_gamma 90.00
loop_
_atom_site_label
_atom_site_type_symbol
_atom_site_fract_x
_atom_site_fract_y
_atom_site_fract_z
Nb1 Nb 0.000 0.000 0.000
Ga1 Ga 0.500 0.500 0.500
Te1 Te 0.500 0.500 0.000
N1 N 0.000 0.500 0.500

# MgAg2, relaxed, DFT GGA-PBEsol
# DOS at the Fermi energy	3.30	states/eV per cell
# formation energy	-0.19	eV per atom
# DFT total energy	-35.63	eV for the cell shown
# total magnetization	0.0	μB/cell
data_MgAg2
_chemical_formula_sum 'Mg4 Ag8'
_space_group_name_H-M_alt 'P n m a'
_space_group_IT_number 62
_cell_length_a 5.745
_cell_length_b 4.164
_cell_length_c 8.625
_cell_angle_alpha 90.00
_cell_angle_beta 90.00
_cell_angle_gamma 90.00
loop_
_space_group_symop_operation_xyz
'x,y,z'
'-x,-y,-z'
'-x+1/2,-y,z+1/2'
'x+1/2,y,-z+1/2'
'x+1/2,-y+1/2,-z+1/2'
'-x+1/2,y+1/2,z+1/2'
'-x,y+1/2,-z'
'x,-y+1/2,z'
loop_
_atom_site_label
_atom_site_type_symbol
_atom_site_fract_x
_atom_site_fract_y
_atom_site_fract_z
Mg1 Mg 0.147 0.250 0.093
Ag1 Ag 0.106 0.250 0.755
Ag2 Ag 0.140 0.250 0.421

# YOsPtAu2, relaxed, DFT GGA-PBEsol
# DOS at the Fermi energy	5.88	states/eV per cell
# formation energy	1.93	eV per atom
# DFT total energy	-24.22	eV for the cell shown
# total magnetization	2.7	μB/cell
data_YOsPtAu2
_chemical_formula_sum 'Y1 Os1 Pt1 Au2'
_space_group_name_H-M_alt 'P 4/m m m'
_space_group_IT_number 123
_space_group_name_Hall '-P 4 2'
_cell_length_a 5.023
_cell_length_b 5.023
_cell_length_c 4.908
_cell_angle_alpha 90.00
_cell_angle_beta 90.00
_cell_angle_gamma 90.00
loop_
_atom_site_label
_atom_site_type_symbol
_atom_site_fract_x
_atom_site_fract_y
_atom_site_fract_z
Y1 Y 0.000 0.000 0.000
Os1 Os 0.500 0.500 0.500
Pt1 Pt 0.000 0.000 0.500
Au1 Au 0.000 0.500 0.000

# Sc2InB2, relaxed, DFT GGA-PBEsol
# DOS at the Fermi energy	7.13	states/eV per cell
# formation energy	0.39	eV per atom
# DFT total energy	-56.54	eV for the cell shown
# total magnetization	0.0	μB/cell
data_Sc2InB2
_chemical_formula_sum 'Sc4 In2 B4'
_space_group_name_H-M_alt 'I 4/m m m'
_space_group_IT_number 139
_space_group_name_Hall '-I 4 2'
_cell_length_a 3.833
_cell_length_b 3.833
_cell_length_c 11.600
_cell_angle_alpha 90.00
_cell_angle_beta 90.00
_cell_angle_gamma 90.00
loop_
_atom_site_label
_atom_site_type_symbol
_atom_site_fract_x
_atom_site_fract_y
_atom_site_fract_z
Sc1 Sc 0.000 0.000 0.144
In1 In 0.000 0.000 0.500
B1 B 0.000 0.500 0.250

Question: Among the records above, which one has the lowest DFT total energy?
Answer: Sc2InB2

Question: The lowest DFT total energy belongs to which entry?
Answer: Sc2InB2